(1)
VASP calculation (PBE) on a relaxed KBe2Cl crystal.

energy above the most stable polymorph in this dataset: 592 meV per atom
ΔE_f (raw): 0.5985 eV/atom
uncorrected energy: -2.001 eV per atom

Cell lengths 5.998, 5.998, 3.785 Å; angles 90.00, 90.00, 128.15 degrees
Positions (direct):
Cl1 0.500 0.000 0.500
K1 0.000 0.500 0.500
Be1 0.500 0.500 0.000
Be2 0.000 0.000 0.000

(2)
VASP calculation (PBE) on a relaxed K3BeCl5 crystal.

ΔE_f (raw): -1.8167 eV/atom
uncorrected energy: -3.622 eV per atom

Cell lengths 8.661, 8.661, 8.995 Å; angles 118.78, 118.78, 90.00 degrees
Positions (direct):
Cl1 0.292 0.792 0.317
Be1 0.250 0.750 0.500
K1 0.668 0.168 0.000
Cl2 0.975 0.475 0.683
Cl3 0.792 0.025 0.317
Cl4 0.500 0.500 0.000
Cl5 0.025 0.525 0.317
K2 0.832 0.668 0.000
Be2 0.750 0.250 0.500
Cl6 0.708 0.208 0.683
K3 0.250 0.250 0.500
Cl7 0.208 0.975 0.683
Cl8 0.525 0.292 0.317
K4 0.332 0.832 0.000
K5 0.168 0.332 0.000
Cl9 0.000 0.000 0.000
K6 0.750 0.750 0.500
Cl10 0.475 0.708 0.683

(3)
VASP calculation (PBE) on a relaxed K2BeCl2 crystal.

energy above the most stable polymorph in this dataset: 0 meV per atom
ΔE_f (raw): -0.7615 eV/atom
uncorrected energy: -2.684 eV per atom

Cell lengths 8.875, 8.875, 3.891 Å; angles 90.00, 90.00, 90.00 degrees
Positions (direct):
Be1 0.000 0.000 0.000
K1 0.145 0.355 0.000
K2 0.355 0.855 0.000
Cl1 0.654 0.846 0.500
Cl2 0.846 0.346 0.500
Cl3 0.154 0.654 0.500
K3 0.645 0.145 0.000
Be2 0.500 0.500 0.000
Cl4 0.346 0.154 0.500
K4 0.855 0.645 0.000

(4)
VASP calculation (PBE) on a relaxed KBe2Cl crystal.

energy above the most stable polymorph in this dataset: 175 meV per atom
ΔE_f (raw): 0.1819 eV/atom
uncorrected energy: -2.417 eV per atom

Cell lengths 5.584, 5.584, 5.583 Å; angles 135.13, 106.47, 90.45 degrees
Positions (direct):
Be1 0.817 0.817 0.000
Be2 0.861 0.361 0.500
Cl1 0.555 0.555 0.000
K1 0.267 0.767 0.500